1.
Compound: Ba2ThBe2P4
Source: Alexandria via LeMat-Bulk
Functional: GGA-PBE
Structure: optimized geometry

extended XYZ file:
```
9
Lattice="7.520 -2.025 0.000 7.520 2.025 0.000 -2.765 0.000 7.050" Properties=species:S:1:pos:R:3 pbc="T T T"
Ba 1.843 0.000 0.573
Ba 10.433 0.000 6.477
Th -1.383 0.000 3.525
Be 3.458 0.000 3.712
Be 8.817 0.000 3.338
P 1.313 0.000 4.548
P 5.088 0.000 5.246
P 7.187 0.000 1.804
P 10.963 0.000 2.502
```

- DFT total energy: -5.4190 eV/atom
- Magnetic moment: 0.00 μB per formula unit
- Formation enthalpy at 0 K: -0.9349 eV/atom
- Density of states at the Fermi level: 0.2 states/eV/f.u.

---

2.
Compound: Ba2ZrBeP
Source: Alexandria via LeMat-Bulk
Functional: GGA-PBE
Structure: optimized geometry

extended XYZ file:
```
5
Lattice="6.354 0.000 0.000 0.000 6.354 0.000 0.000 0.000 4.953" Properties=species:S:1:pos:R:3 pbc="T T T"
Ba 0.000 3.177 0.000
Ba 3.177 0.000 0.000
Zr 0.000 0.000 0.000
Be 3.177 3.177 2.476
P 0.000 0.000 2.476
```

- DFT total energy: -3.6602 eV/atom
- Magnetic moment: 0.00 μB per formula unit
- Formation enthalpy at 0 K: 0.6457 eV/atom
- Density of states at the Fermi level: 6.3 states/eV/f.u.